VASP calculation (GGA+U) on crystalline Ba2ErCo2O6 at its relaxed geometry.

Cell lengths 6.631, 6.631, 6.631 Å; angles 54.46, 54.46, 54.46 degrees
Atoms (fractional coordinates):
Ba: 0.220 0.220 0.220
Ba: 0.780 0.780 0.780
Er: 0.000 0.000 0.000
Co: 0.436 0.436 0.436
Co: 0.564 0.564 0.564
O: 0.241 0.753 0.753
O: 0.247 0.247 0.759
O: 0.247 0.759 0.247
O: 0.753 0.241 0.753
O: 0.753 0.753 0.241
O: 0.759 0.247 0.247

Output
For the size of the total moment, the calculation gives 0.636 μB per atom. As for the total energy: -6.51 eV/atom. As for the symmetry: R-3m (166). As for the crystal system: trigonal.


VASP calculation (GGA+U) on crystalline BaEr2CoO5 at its relaxed geometry.

Cell lengths 12.286, 5.722, 7.081 Å; angles 90.00, 90.00, 90.00 degrees
Atoms (fractional coordinates):
Ba: 0.101 0.250 0.079
Ba: 0.399 0.750 0.579
Ba: 0.601 0.250 0.421
Ba: 0.899 0.750 0.921
Er: 0.074 0.750 0.402
Er: 0.209 0.250 0.620
Er: 0.291 0.750 0.120
Er: 0.426 0.250 0.902
Er: 0.574 0.750 0.098
Er: 0.709 0.250 0.880
Er: 0.791 0.750 0.380
Er: 0.926 0.250 0.598
Co: 0.152 0.750 0.808
Co: 0.348 0.250 0.308
Co: 0.652 0.750 0.692
Co: 0.848 0.250 0.192
O: 0.066 0.503 0.665
O: 0.066 0.997 0.665
O: 0.103 0.750 0.078
O: 0.225 0.000 0.362
O: 0.225 0.500 0.362
O: 0.275 0.000 0.862
O: 0.275 0.500 0.862
O: 0.397 0.250 0.578
O: 0.434 0.003 0.165
O: 0.434 0.497 0.165
O: 0.566 0.503 0.835
O: 0.566 0.997 0.835
O: 0.603 0.750 0.422
O: 0.725 0.000 0.138
O: 0.725 0.500 0.138
O: 0.775 0.000 0.638
O: 0.775 0.500 0.638
O: 0.897 0.250 0.922
O: 0.934 0.003 0.335
O: 0.934 0.497 0.335

Output
The value obtained for the energy above the most stable polymorph in this dataset is 0.0000 eV per atom. For the size of the total moment, the calculation gives 0.333 μB per atom. As for the symmetry: Pnma (62). As for the crystal system: orthorhombic.


VASP calculation (GGA+U) on crystalline Ba3ErCo2O6 at its relaxed geometry.

Cell lengths 6.157, 6.157, 6.944 Å; angles 90.00, 90.00, 120.00 degrees
Atoms (fractional coordinates):
Ba: 0.000 0.000 0.000
Ba: 0.333 0.667 0.661
Ba: 0.667 0.333 0.339
Er: 0.000 0.000 0.500
Co: 0.333 0.667 0.223
Co: 0.667 0.333 0.777
O: 0.165 0.331 0.304
O: 0.165 0.835 0.304
O: 0.331 0.165 0.696
O: 0.669 0.835 0.304
O: 0.835 0.165 0.696
O: 0.835 0.669 0.696

Output
For the size of the total moment, the calculation gives 0.417 μB per atom. As for the total energy: -6.27 eV/atom. As for the symmetry: P-3m1 (164). As for the crystal system: trigonal.


VASP calculation (GGA+U) on crystalline BaEr2CoO5 at its relaxed geometry.

Cell lengths 6.694, 6.694, 6.694 Å; angles 147.33, 128.77, 62.10 degrees
Atoms (fractional coordinates):
Ba: 0.000 0.000 0.000
Er: 0.296 0.796 0.500
Er: 0.704 0.204 0.500
Co: 0.500 0.500 0.000
O: 0.107 0.348 0.759
O: 0.412 0.652 0.759
O: 0.500 0.000 0.500
O: 0.588 0.348 0.241
O: 0.893 0.652 0.241

Output
The value obtained for the energy above the most stable polymorph in this dataset is 0.0201 eV per atom. For the size of the total moment, the calculation gives 0.333 μB per atom. As for the symmetry: Immm (71). As for the crystal system: orthorhombic.